# CrHgP2O8

CrHgP2O8 after structural relaxation (PBE+U, Alexandria).

Cell lengths 4.7124, 4.7124, 21.9884 Å; angles 90.00, 90.00, 120.00 degrees
Last column: nearest neighbours and their distance in Å.
Space group R-3 (No. 148, hexagonal axes)
One atom of each set of equivalent atoms:
Cr 0.0000 0.0000 0.0000 [3 per cell]  6 O 1.93
Hg 0.0000 0.0000 0.5000 [3 per cell]  12 O 2.76-3.03
P 0.0000 0.0000 0.2585 [6 per cell]  4 O 1.55-1.56
O 0.0000 0.0000 0.1877 [6 per cell]  1 P 1.56
O 0.0095 0.3671 0.3860 [18 per cell]  1 P 1.55

Values from the calculation:
Total moment in μB per cell: 5.95
Raw total energy in eV/atom: -6.495